First-principles (PBE-GGA) data for crystalline AgMo2Rh at its relaxed geometry, as listed in Alexandria via LeMat-Bulk.

Cell: 3.240 3.240 6.136 Å, 90.00 90.00 90.00°
Sites, in units of the cell vectors:
Ag (0.000, 0.000, 0.000)
Mo (0.000, 0.000, 0.500)
Mo (0.500, 0.500, 0.279)
Rh (0.500, 0.500, 0.738)

Output
Energy above the most stable polymorph in this dataset in kJ/mol of atoms: 12.7
Total moment in μB/cell: 0.00
ρ in g/cm³: 10.4
Formation energy in eV/atom: 0.297

First-principles (PBE-GGA) data for crystalline AgMo2Rh at its relaxed geometry, as listed in Alexandria via LeMat-Bulk.

Cell: 4.473 4.473 4.473 Å, 60.00 60.00 60.00°
Sites, in units of the cell vectors:
Ag (0.000, 0.000, 0.000)
Mo (0.250, 0.250, 0.250)
Mo (0.500, 0.500, 0.500)
Rh (0.750, 0.750, 0.750)

Output
Energy above the most stable polymorph in this dataset in kJ/mol of atoms: 23.0
Total moment in μB/cell: 0.00
ρ in g/cm³: 10.6
Formation energy in eV/atom: 0.404

First-principles (PBE-GGA) data for crystalline AgMoRh at its relaxed geometry, as listed in Alexandria via LeMat-Bulk.

Cell: 2.800 2.800 7.053 Å, 90.00 90.00 120.00°
Sites, in units of the cell vectors:
Ag (0.000, 0.000, 0.000)
Mo (0.667, 0.333, 0.357)
Rh (0.333, 0.667, 0.651)

Output
Energy above the most stable polymorph in this dataset in kJ/mol of atoms: 0.0
Total moment in μB/cell: 0.00
ρ in g/cm³: 10.6
Formation energy in eV/atom: 0.131

First-principles (PBE-GGA) data for crystalline AgMo4Rh at its relaxed geometry, as listed in Alexandria via LeMat-Bulk.

Cell: 5.196 5.196 5.196 Å, 60.00 60.00 60.00°
Sites, in units of the cell vectors:
Ag (0.000, 0.000, 0.000)
Mo (0.123, 0.626, 0.626)
Mo (0.626, 0.123, 0.626)
Mo (0.626, 0.626, 0.123)
Mo (0.626, 0.626, 0.626)
Rh (0.250, 0.250, 0.250)

Output
Total moment in μB/cell: 0.00
ρ in g/cm³: 10.0
Formation energy in eV/atom: 0.395

For each record above, in turn, the calculated N(E_F) values are 1.2071; 0.9405; 0.8064; 1.0862 states/eV per atom.
For each record above, in turn, the calculated energy values are -0.564; -0.556; -0.506; -0.627 Ry/atom.